No. 1
The following is a DFT calculation (PBE) of an optimized crystal structure of AlCoSb2.

Calculated values
Density: 6.80 g cm⁻³
Space-group type: F-43m, No. 216
Energy: -4.24 eV per atom

Cell: 4.847 4.847 4.847 Å, 60.00 60.00 60.00°
Fractional positions:
Al (0.500, 0.500, 0.500)
Co (0.250, 0.250, 0.250)
Sb (0.000, 0.000, 0.000)
Sb (0.750, 0.750, 0.750)


No. 2
The following is a DFT calculation (PBE) of an optimized crystal structure of Ta2AlCo2Sb.

Calculated values
Density: 10.43 g cm⁻³
Space-group type: I-42d, No. 122
Energy: -8.01 eV per atom

Cell: 7.160 7.160 7.160 Å, 131.76 131.76 70.61°
Fractional positions:
Al (0.000, 0.000, 0.000)
Al (0.750, 0.250, 0.500)
Co (0.628, 0.125, 0.003)
Co (0.375, 0.372, 0.497)
Co (0.875, 0.878, 0.503)
Co (0.122, 0.625, 0.997)
Sb (0.500, 0.500, 0.000)
Sb (0.250, 0.750, 0.500)
Ta (0.243, 0.243, 0.000)
Ta (0.757, 0.757, 0.000)
Ta (0.507, 0.007, 0.500)
Ta (0.993, 0.493, 0.500)


No. 3
The following is a DFT calculation (PBE) of an optimized crystal structure of Sc2Al2Co.

Calculated values
Density: 3.49 g cm⁻³
Space-group type: I4/mmm, No. 139
Energy: -5.34 eV per atom

Cell: 8.283 8.283 8.283 Å, 155.66 155.66 34.68°
Fractional positions:
Al (0.750, 0.250, 0.500)
Al (0.250, 0.750, 0.500)
Co (0.000, 0.000, 0.000)
Sc (0.408, 0.408, 0.000)
Sc (0.592, 0.592, 0.000)


No. 4
The following is a DFT calculation (PBE) of an optimized crystal structure of ScAlCo2.

Calculated values
Density: 5.94 g cm⁻³
Space-group type: P4/mmm, No. 123
Energy: -6.52 eV per atom

Cell: 2.994 2.994 5.923 Å, 90.00 90.00 90.00°
Fractional positions:
Al (0.000, 0.000, 0.000)
Co (0.500, 0.500, 0.228)
Co (0.500, 0.500, 0.772)
Sc (0.000, 0.000, 0.500)


No. 5
The following is a DFT calculation (PBE) of an optimized crystal structure of ScAlCo2.

Calculated values
Density: 5.65 g cm⁻³
Space-group type: F-43m, No. 216
Energy: -6.19 eV per atom

Cell: 4.288 4.288 4.288 Å, 60.00 60.00 60.00°
Last column: magnetic moment on the atom in μB.
Fractional positions:
Al (0.250, 0.250, 0.250)  0.01
Co (0.500, 0.500, 0.500)  1.30
Co (0.750, 0.750, 0.750)  1.55
Sc (0.000, 0.000, 0.000)  -0.04


No. 6
The following is a DFT calculation (PBE) of an optimized crystal structure of ScAlCo2.

Calculated values
Density: 5.99 g cm⁻³
Space-group type: P4/mmm, No. 123
Energy: -6.54 eV per atom

Cell: 4.154 4.154 3.052 Å, 90.00 90.00 90.00°
Fractional positions:
Al (0.000, 0.000, 0.000)
Co (0.500, 0.000, 0.500)
Co (0.000, 0.500, 0.500)
Sc (0.500, 0.500, 0.000)